BaAs2RuSe | PBE | optimized geometry

Cell lengths 5.7246, 5.7246, 5.8646 Å; angles 90.00, 90.00, 90.00 degrees
Last column: nearest neighbours and their distance in Å.
Positions (direct):
Ba  0.0000  0.0000  0.0000  4 As 2.86, 2 Se 2.93
As  0.0000  0.5000  0.0000  2 Ba 2.86
As  0.5000  0.0000  0.0000  2 Ba 2.86
Ru  0.5000  0.5000  0.5000  4 Se 4.05, 8 As 4.10
Se  0.0000  0.0000  0.5000  2 Ba 2.93

Output
**ρ**: 4.04 Mg/m³
**Raw formation energy**: 1.71 eV per atom
**Spin magnetization**: 2.69 μB/f.u.
**DOS at the Fermi energy**: 1.70 states/eV per atom
**Offset from the most stable computed form**: 2.156 eV per atom
**Calculated volume**: 38.44 A^3/atom